# La5Sb5O2

A relaxed structure of La5Sb5O2 (PBE, Alexandria).

```
data_La5Sb5O2
_chemical_formula_sum 'La10 Sb10 O4'
_cell_length_a 15.083
_cell_length_b 4.218
_cell_length_c 10.920
_cell_angle_alpha 90.00
_cell_angle_beta 101.46
_cell_angle_gamma 90.00
_symmetry_space_group_name_H-M 'C 1 2/m 1'
_symmetry_Int_Tables_number 12
loop_
_symmetry_equiv_pos_as_xyz
'x,y,z'
'-x,-y,-z'
'-x,y,-z'
'x,-y,z'
'x+1/2,y+1/2,z'
'-x+1/2,-y+1/2,-z'
'-x+1/2,y+1/2,-z'
'x+1/2,-y+1/2,z'
loop_
_atom_site_label
_atom_site_type_symbol
_atom_site_fract_x
_atom_site_fract_y
_atom_site_fract_z
La1 La 0.000 0.000 0.000
La2 La 0.080 0.000 0.339
La3 La 0.146 0.500 0.791
Sb1 Sb 0.000 0.500 0.500
Sb2 Sb 0.161 0.500 0.118
Sb3 Sb 0.249 0.500 0.389
O1 O 0.063 0.000 0.811
```

Electronic total energy   -6.24 eV/atom
Calculated volume   28.37 A^3/atom

***

# Y4TlCd2

A relaxed structure of Y4TlCd2 (PBE, Alexandria).

```
data_Y4TlCd2
_chemical_formula_sum 'Y12 Tl3 Cd6'
_cell_length_a 5.2549
_cell_length_b 5.2549
_cell_length_c 25.5151
_cell_angle_alpha 90.00
_cell_angle_beta 90.00
_cell_angle_gamma 120.00
_symmetry_space_group_name_H-M 'R -3 m'
_symmetry_Int_Tables_number 166
_symmetry_space_group_name_Hall '-R 3 2"'
loop_
_atom_site_label
_atom_site_type_symbol
_atom_site_fract_x
_atom_site_fract_y
_atom_site_fract_z
Y1 Y 0.0000 0.0000 0.1175
Y2 Y 0.0000 0.0000 0.3705
Tl1 Tl 0.0000 0.0000 0.5000
Cd1 Cd 0.0000 0.0000 0.2485
```

Formation energy from the elements   -17.4 kJ/mol of atoms
Electronic total energy   -4.47 eV/atom
Calculated volume   29.06 A^3/atom

***

# Al2FeH5

A relaxed structure of Al2FeH5 (PBE, Alexandria).

```
data_Al2FeH5
_chemical_formula_sum 'Al4 Fe2 H10'
_cell_length_a 4.171
_cell_length_b 4.171
_cell_length_c 6.277
_cell_angle_alpha 90.00
_cell_angle_beta 90.00
_cell_angle_gamma 90.00
_symmetry_space_group_name_H-M 'I 4 m m'
_symmetry_Int_Tables_number 107
_symmetry_space_group_name_Hall 'I 4 -2'
loop_
_atom_site_label
_atom_site_type_symbol
_atom_site_fract_x
_atom_site_fract_y
_atom_site_fract_z
Al1 Al 0.000 0.500 0.000
Fe1 Fe 0.000 0.000 0.251
H1 H 0.000 0.000 0.501
H2 H 0.231 0.231 0.743
```

Electronic total energy   -4.10 eV/atom
Calculated volume   6.83 A^3/atom

***

# PtAuSe2

A relaxed structure of PtAuSe2 (PBE, Alexandria).

```
data_PtAuSe2
_chemical_formula_sum 'Pt2 Au2 Se4'
_cell_length_a 3.815
_cell_length_b 4.372
_cell_length_c 11.203
_cell_angle_alpha 90.00
_cell_angle_beta 90.00
_cell_angle_gamma 90.00
_symmetry_space_group_name_H-M 'I m m m'
_symmetry_Int_Tables_number 71
_symmetry_space_group_name_Hall '-I 2 2'
loop_
_atom_site_label
_atom_site_type_symbol
_atom_site_fract_x
_atom_site_fract_y
_atom_site_fract_z
Pt1 Pt 0.000 0.000 0.000
Au1 Au 0.000 0.000 0.500
Se1 Se 0.000 0.500 0.354
```

Electronic total energy   -4.14 eV/atom
Calculated volume   23.36 A^3/atom

***

# Pm3Ho8Tm2

A relaxed structure of Pm3Ho8Tm2 (PBE, Alexandria).

```
data_Pm3Ho8Tm2
_chemical_formula_sum 'Pm6 Ho16 Tm4'
_cell_length_a 14.618
_cell_length_b 9.100
_cell_length_c 6.900
_cell_angle_alpha 90.00
_cell_angle_beta 108.91
_cell_angle_gamma 90.00
_symmetry_space_group_name_H-M 'C 1 2/m 1'
_symmetry_Int_Tables_number 12
loop_
_symmetry_equiv_pos_as_xyz
'x,y,z'
'-x,-y,-z'
'-x,y,-z'
'x,-y,z'
'x+1/2,y+1/2,z'
'-x+1/2,-y+1/2,-z'
'-x+1/2,y+1/2,-z'
'x+1/2,-y+1/2,z'
loop_
_atom_site_label
_atom_site_type_symbol
_atom_site_fract_x
_atom_site_fract_y
_atom_site_fract_z
Pm1 Pm 0.000 0.000 0.000
Pm2 Pm 0.000 0.176 0.500
Ho1 Ho 0.085 0.500 0.731
Ho2 Ho 0.119 0.320 0.180
Ho3 Ho 0.192 0.000 0.898
Tm1 Tm 0.213 0.000 0.424
```

Formation energy from the elements   22.8 kJ/mol of atoms
ΔE to the lowest computed polymorph   0 meV per atom
Electronic total energy   -4.37 eV/atom
Calculated volume   33.40 A^3/atom

***

# Tl3AuCl

A relaxed structure of Tl3AuCl (PBE, Alexandria).

```
data_Tl3AuCl
_chemical_formula_sum 'Tl3 Au1 Cl1'
_cell_length_a 5.827
_cell_length_b 5.827
_cell_length_c 5.827
_cell_angle_alpha 90.00
_cell_angle_beta 90.00
_cell_angle_gamma 90.00
_symmetry_space_group_name_H-M 'P m -3 m'
_symmetry_Int_Tables_number 221
_symmetry_space_group_name_Hall '-P 4 2 3'
loop_
_atom_site_label
_atom_site_type_symbol
_atom_site_fract_x
_atom_site_fract_y
_atom_site_fract_z
Tl1 Tl 0.000 0.000 0.500
Au1 Au 0.500 0.500 0.500
Cl1 Cl 0.000 0.000 0.000
```

ΔE to the lowest computed polymorph   274 meV per atom
Electronic total energy   -2.41 eV/atom
Calculated volume   39.57 A^3/atom

***

# Ba3Li2Tl

A relaxed structure of Ba3Li2Tl (PBE, Alexandria).

```
data_Ba3Li2Tl
_chemical_formula_sum 'Ba6 Li4 Tl2'
_cell_length_a 6.1375
_cell_length_b 6.1375
_cell_length_c 15.0248
_cell_angle_alpha 90.00
_cell_angle_beta 90.00
_cell_angle_gamma 120.00
_symmetry_space_group_name_H-M 'P -3 m 1'
_symmetry_Int_Tables_number 164
_symmetry_space_group_name_Hall '-P 3 2"'
loop_
_atom_site_label
_atom_site_type_symbol
_atom_site_fract_x
_atom_site_fract_y
_atom_site_fract_z
Ba1 Ba 0.0000 0.0000 0.2433
Ba2 Ba 0.3333 0.6667 0.4095
Ba3 Ba 0.3333 0.6667 0.9169
Li1 Li 0.0000 0.0000 0.0000
Li2 Li 0.0000 0.0000 0.5000
Li3 Li 0.3333 0.6667 0.6698
Tl1 Tl 0.3333 0.6667 0.1678
```

Formation energy from the elements   -12.9 kJ/mol of atoms
Electronic total energy   -2.13 eV/atom
Calculated volume   40.85 A^3/atom

***

# CaPrHo2Hg4

A relaxed structure of CaPrHo2Hg4 (PBE, Alexandria).

```
data_CaPrHo2Hg4
_chemical_formula_sum 'Ca3 Pr3 Ho6 Hg12'
_cell_length_a 5.3046
_cell_length_b 5.3046
_cell_length_c 26.2303
_cell_angle_alpha 90.00
_cell_angle_beta 90.00
_cell_angle_gamma 120.00
_symmetry_space_group_name_H-M 'R -3 m'
_symmetry_Int_Tables_number 166
_symmetry_space_group_name_Hall '-R 3 2"'
loop_
_atom_site_label
_atom_site_type_symbol
_atom_site_fract_x
_atom_site_fract_y
_atom_site_fract_z
Ca1 Ca 0.0000 0.0000 0.0000
Pr1 Pr 0.0000 0.0000 0.5000
Ho1 Ho 0.0000 0.0000 0.2526
Hg1 Hg 0.0000 0.0000 0.1231
Hg2 Hg 0.0000 0.0000 0.3745
```

Formation energy from the elements   -47.3 kJ/mol of atoms
Electronic total energy   -2.63 eV/atom
Calculated volume   26.63 A^3/atom

***

# Ac2Zn3PbAu4

A relaxed structure of Ac2Zn3PbAu4 (PBE, Alexandria).

```
data_Ac2Zn3PbAu4
_chemical_formula_sum 'Ac2 Zn3 Pb1 Au4'
_cell_length_a 4.581
_cell_length_b 4.581
_cell_length_c 11.206
_cell_angle_alpha 90.00
_cell_angle_beta 90.00
_cell_angle_gamma 90.00
_symmetry_space_group_name_H-M 'P -4 m 2'
_symmetry_Int_Tables_number 115
loop_
_symmetry_equiv_pos_as_xyz
'x,y,z'
'y,-x,-z'
'-x,-y,z'
'-y,x,-z'
'-x,y,z'
'-y,-x,-z'
'x,-y,z'
'y,x,-z'
loop_
_atom_site_label
_atom_site_type_symbol
_atom_site_fract_x
_atom_site_fract_y
_atom_site_fract_z
Ac1 Ac 0.000 0.500 0.236
Zn1 Zn 0.000 0.500 0.883
Zn2 Zn 0.500 0.500 0.500
Pb1 Pb 0.000 0.000 0.500
Au1 Au 0.000 0.000 0.000
Au2 Au 0.000 0.500 0.655
Au3 Au 0.500 0.500 0.000
```

Formation energy from the elements   -50.5 kJ/mol of atoms
Electronic total energy   -3.41 eV/atom
Calculated volume   23.52 A^3/atom

***

# BaSi3

A relaxed structure of BaSi3 (PBE, Alexandria).

```
data_BaSi3
_chemical_formula_sum 'Ba1 Si3'
_cell_length_a 4.003
_cell_length_b 4.003
_cell_length_c 6.012
_cell_angle_alpha 90.00
_cell_angle_beta 90.00
_cell_angle_gamma 90.00
_symmetry_space_group_name_H-M 'P 4 m m'
_symmetry_Int_Tables_number 99
loop_
_symmetry_equiv_pos_as_xyz
'x,y,z'
'-y,x,z'
'-x,-y,z'
'y,-x,z'
'-x,y,z'
'y,x,z'
'x,-y,z'
'-y,-x,z'
loop_
_atom_site_label
_atom_site_type_symbol
_atom_site_fract_x
_atom_site_fract_y
_atom_site_fract_z
Ba1 Ba 0.000 0.000 0.000
Si1 Si 0.000 0.500 0.467
Si2 Si 0.500 0.500 0.716
```

Electronic total energy   -4.65 eV/atom
Calculated volume   24.08 A^3/atom

***

# TbCePrNd

A relaxed structure of TbCePrNd (PBE, Alexandria).

```
data_TbCePrNd
_chemical_formula_sum 'Tb4 Ce4 Pr4 Nd4'
_cell_length_a 8.174
_cell_length_b 8.174
_cell_length_c 8.174
_cell_angle_alpha 90.00
_cell_angle_beta 90.00
_cell_angle_gamma 90.00
_symmetry_space_group_name_H-M 'F -4 3 m'
_symmetry_Int_Tables_number 216
_symmetry_space_group_name_Hall 'F -4 2 3'
loop_
_atom_site_label
_atom_site_type_symbol
_atom_site_fract_x
_atom_site_fract_y
_atom_site_fract_z
Tb1 Tb 0.000 0.000 0.000
Ce1 Ce 0.000 0.000 0.500
Pr1 Pr 0.250 0.250 0.250
Nd1 Nd 0.250 0.250 0.750
```

Formation energy from the elements   19.3 kJ/mol of atoms
Electronic total energy   -4.83 eV/atom
Calculated volume   34.13 A^3/atom

***

# BeAgCl2

A relaxed structure of BeAgCl2 (PBE, Alexandria).

```
data_BeAgCl2
_chemical_formula_sum 'Be2 Ag2 Cl4'
_cell_length_a 5.461
_cell_length_b 3.154
_cell_length_c 10.660
_cell_angle_alpha 90.00
_cell_angle_beta 94.10
_cell_angle_gamma 90.00
_symmetry_space_group_name_H-M 'C 1 2/m 1'
_symmetry_Int_Tables_number 12
loop_
_symmetry_equiv_pos_as_xyz
'x,y,z'
'-x,-y,-z'
'-x,y,-z'
'x,-y,z'
'x+1/2,y+1/2,z'
'-x+1/2,-y+1/2,-z'
'-x+1/2,y+1/2,-z'
'x+1/2,-y+1/2,z'
loop_
_atom_site_label
_atom_site_type_symbol
_atom_site_fract_x
_atom_site_fract_y
_atom_site_fract_z
Be1 Be 0.000 0.000 0.000
Ag1 Ag 0.000 0.500 0.500
Cl1 Cl 0.184 0.500 0.120
```

ΔE to the lowest computed polymorph   6 meV per atom
Electronic total energy   -3.20 eV/atom
Calculated volume   22.89 A^3/atom

***

# Sc2AlTe

A relaxed structure of Sc2AlTe (PBE, Alexandria).

```
data_Sc2AlTe
_chemical_formula_sum 'Sc8 Al4 Te4'
_cell_length_a 7.757
_cell_length_b 7.757
_cell_length_c 6.275
_cell_angle_alpha 90.00
_cell_angle_beta 90.00
_cell_angle_gamma 90.00
_symmetry_space_group_name_H-M 'I -4 2 d'
_symmetry_Int_Tables_number 122
_symmetry_space_group_name_Hall 'I -4 2bw'
loop_
_atom_site_label
_atom_site_type_symbol
_atom_site_fract_x
_atom_site_fract_y
_atom_site_fract_z
Sc1 Sc 0.247 0.250 0.125
Al1 Al 0.000 0.000 0.000
Te1 Te 0.000 0.000 0.500
```

ΔE to the lowest computed polymorph   261 meV per atom
Electronic total energy   -5.25 eV/atom
Calculated volume   23.59 A^3/atom

***

# DyZnBi

A relaxed structure of DyZnBi (PBE, Alexandria).

```
data_DyZnBi
_chemical_formula_sum 'Dy6 Zn6 Bi6'
_cell_length_a 4.5225
_cell_length_b 4.5225
_cell_length_c 27.5890
_cell_angle_alpha 90.00
_cell_angle_beta 90.00
_cell_angle_gamma 120.00
_symmetry_space_group_name_H-M 'R -3 m'
_symmetry_Int_Tables_number 166
_symmetry_space_group_name_Hall '-R 3 2"'
loop_
_atom_site_label
_atom_site_type_symbol
_atom_site_fract_x
_atom_site_fract_y
_atom_site_fract_z
Dy1 Dy 0.0000 0.0000 0.0635
Zn1 Zn 0.0000 0.0000 0.3314
Bi1 Bi 0.0000 0.0000 0.2050
```

Formation energy from the elements   -26.6 kJ/mol of atoms
Electronic total energy   -3.53 eV/atom
Calculated volume   27.15 A^3/atom

***

# PrYMgTl

A relaxed structure of PrYMgTl (PBE, Alexandria).

```
data_PrYMgTl
_chemical_formula_sum 'Pr4 Y4 Mg4 Tl4'
_cell_length_a 7.704
_cell_length_b 7.704
_cell_length_c 7.704
_cell_angle_alpha 90.00
_cell_angle_beta 90.00
_cell_angle_gamma 90.00
_symmetry_space_group_name_H-M 'F -4 3 m'
_symmetry_Int_Tables_number 216
_symmetry_space_group_name_Hall 'F -4 2 3'
loop_
_atom_site_label
_atom_site_type_symbol
_atom_site_fract_x
_atom_site_fract_y
_atom_site_fract_z
Pr1 Pr 0.000 0.000 0.000
Y1 Y 0.000 0.000 0.500
Mg1 Mg 0.250 0.250 0.250
Tl1 Tl 0.250 0.250 0.750
```

Formation energy from the elements   -25.8 kJ/mol of atoms
Electronic total energy   -4.07 eV/atom
Calculated volume   28.58 A^3/atom

***

# SmZrGa2

A relaxed structure of SmZrGa2 (PBE, Alexandria).

```
data_SmZrGa2
_chemical_formula_sum 'Sm3 Zr3 Ga6'
_cell_length_a 3.6083
_cell_length_b 3.6083
_cell_length_c 24.8356
_cell_angle_alpha 90.00
_cell_angle_beta 90.00
_cell_angle_gamma 120.00
_symmetry_space_group_name_H-M 'R -3 m'
_symmetry_Int_Tables_number 166
_symmetry_space_group_name_Hall '-R 3 2"'
loop_
_atom_site_label
_atom_site_type_symbol
_atom_site_fract_x
_atom_site_fract_y
_atom_site_fract_z
Sm1 Sm 0.0000 0.0000 0.0000
Zr1 Zr 0.0000 0.0000 0.5000
Ga1 Ga 0.0000 0.0000 0.2442
```

Formation energy from the elements   -31.7 kJ/mol of atoms
ΔE to the lowest computed polymorph   166 meV per atom
Electronic total energy   -5.16 eV/atom
Calculated volume   23.34 A^3/atom

***

# Tb2PmNdSc

A relaxed structure of Tb2PmNdSc (PBE, Alexandria).

```
data_Tb2PmNdSc
_chemical_formula_sum 'Tb4 Pm2 Nd2 Sc2'
_cell_length_a 6.240
_cell_length_b 5.666
_cell_length_c 9.507
_cell_angle_alpha 90.00
_cell_angle_beta 108.96
_cell_angle_gamma 90.00
_symmetry_space_group_name_H-M 'P 1 21/m 1'
_symmetry_Int_Tables_number 11
loop_
_symmetry_equiv_pos_as_xyz
'x,y,z'
'-x,-y,-z'
'-x,y+1/2,-z'
'x,-y+1/2,z'
loop_
_atom_site_label
_atom_site_type_symbol
_atom_site_fract_x
_atom_site_fract_y
_atom_site_fract_z
Tb1 Tb 0.033 0.250 0.396
Tb2 Tb 0.429 0.250 0.190
Pm1 Pm 0.366 0.750 0.398
Nd1 Nd 0.233 0.250 0.807
Sc1 Sc 0.156 0.750 0.001
```

Formation energy from the elements   3.7 kJ/mol of atoms
Electronic total energy   -4.98 eV/atom
Calculated volume   31.79 A^3/atom

***

# Na2SiSbAs

A relaxed structure of Na2SiSbAs (PBE, Alexandria).

```
data_Na2SiSbAs
_chemical_formula_sum 'Na2 Si1 Sb1 As1'
_cell_length_a 5.511
_cell_length_b 5.511
_cell_length_c 4.969
_cell_angle_alpha 90.00
_cell_angle_beta 90.00
_cell_angle_gamma 90.00
_symmetry_space_group_name_H-M 'P 4/m m m'
_symmetry_Int_Tables_number 123
_symmetry_space_group_name_Hall '-P 4 2'
loop_
_atom_site_label
_atom_site_type_symbol
_atom_site_fract_x
_atom_site_fract_y
_atom_site_fract_z
Na1 Na 0.000 0.500 0.000
Si1 Si 0.000 0.000 0.000
Sb1 Sb 0.000 0.000 0.500
As1 As 0.500 0.500 0.500
```

Electronic total energy   -2.85 eV/atom
Calculated volume   30.19 A^3/atom

***

# Zn6Cu3Au2

A relaxed structure of Zn6Cu3Au2 (PBE, Alexandria).

```
data_Zn6Cu3Au2
_chemical_formula_sum 'Zn12 Cu6 Au4'
_cell_length_a 11.380
_cell_length_b 7.374
_cell_length_c 4.178
_cell_angle_alpha 90.00
_cell_angle_beta 110.38
_cell_angle_gamma 90.00
_symmetry_space_group_name_H-M 'C 1 2 1'
_symmetry_Int_Tables_number 5
loop_
_symmetry_equiv_pos_as_xyz
'x,y,z'
'-x,y,-z'
'x+1/2,y+1/2,z'
'-x+1/2,y+1/2,-z'
loop_
_atom_site_label
_atom_site_type_symbol
_atom_site_fract_x
_atom_site_fract_y
_atom_site_fract_z
Zn1 Zn 0.000 0.000 0.000
Zn2 Zn 0.000 0.446 0.500
Zn3 Zn 0.163 0.303 0.158
Zn4 Zn 0.250 0.479 0.743
Cu1 Cu 0.000 0.806 0.500
Cu2 Cu 0.118 0.120 0.615
Au1 Au 0.134 0.659 0.128
```

Formation energy from the elements   -8.2 kJ/mol of atoms
Electronic total energy   -2.49 eV/atom
Calculated volume   14.94 A^3/atom

***

# Be2TlCu2

A relaxed structure of Be2TlCu2 (PBE, Alexandria).

```
data_Be2TlCu2
_chemical_formula_sum 'Be4 Tl2 Cu4'
_cell_length_a 6.857
_cell_length_b 6.857
_cell_length_c 2.872
_cell_angle_alpha 90.00
_cell_angle_beta 90.00
_cell_angle_gamma 90.00
_symmetry_space_group_name_H-M 'P 4/m b m'
_symmetry_Int_Tables_number 127
_symmetry_space_group_name_Hall '-P 4 2ab'
loop_
_atom_site_label
_atom_site_type_symbol
_atom_site_fract_x
_atom_site_fract_y
_atom_site_fract_z
Be1 Be 0.144 0.356 0.000
Tl1 Tl 0.000 0.000 0.500
Cu1 Cu 0.133 0.633 0.500
```

Formation energy from the elements   33.8 kJ/mol of atoms
ΔE to the lowest computed polymorph   54 meV per atom
Electronic total energy   -3.25 eV/atom
Calculated volume   13.50 A^3/atom